A plane-wave DFT calculation with PBE-GGA was carried out for CrPIrS2 after structural relaxation.

total moment: 0.000 μB per cell
formation energy without anion corrections: 0.847 eV/atom
energy above the lowest structure with this stoichiometry: 0 meV per atom
space-group type: P4/mmm
total DFT energy (no corrections): -5.583 eV per atom

Cell: 4.3068 4.3068 4.4623 Å, 90.00 90.00 90.00°
With the nearest neighbours (Å) after each atom.
Fractional positions:
Cr 0.0000 0.0000 0.0000  4 S 2.15, 2 P 2.23
P 0.0000 0.0000 0.5000  2 Cr 2.23
Ir 0.5000 0.5000 0.5000  4 P 3.05, 8 S 3.10
S 0.0000 0.5000 0.0000  2 Cr 2.15
S 0.5000 0.0000 0.0000  2 Cr 2.15

A plane-wave DFT calculation with PBE-GGA was carried out for Nd6Ho3Tm2Th after structural relaxation.

total moment: 0.000 μB per cell
calculated formation energy: 0.03 eV per atom
space-group type: C2/m
total DFT energy (no corrections): -4.859 eV per atom

Cell: 6.2444 6.2444 11.9007 Å, 95.02 95.02 119.95°
With the nearest neighbours (Å) after each atom.
Fractional positions:
Nd 0.0834 0.4137 0.7493  6 Nd 3.57-3.63, 1 Th 3.58, 2 Tm 3.59, 3 Ho 3.59-3.61
Nd 0.2468 0.2468 0.2513  1 Th 3.57, 6 Nd 3.57-3.63, 2 Tm 3.59, 3 Ho 3.60-3.62
Nd 0.4137 0.0834 0.7493  6 Nd 3.57-3.63, 1 Th 3.58, 2 Tm 3.59, 3 Ho 3.59-3.61
Nd 0.5863 0.9166 0.2507  6 Nd 3.57-3.63, 1 Th 3.58, 2 Tm 3.59, 3 Ho 3.59-3.61
Nd 0.7532 0.7532 0.7487  1 Th 3.57, 6 Nd 3.57-3.63, 2 Tm 3.59, 3 Ho 3.60-3.62
Nd 0.9166 0.5863 0.2507  6 Nd 3.57-3.63, 1 Th 3.58, 2 Tm 3.59, 3 Ho 3.59-3.61
Ho 0.1668 0.8332 0.0000  6 Nd 3.60-3.61, 6 Ho 3.60-3.61
Ho 0.5000 0.5000 0.0000  6 Nd 3.59-3.62, 6 Ho 3.60-3.61
Ho 0.8332 0.1668 0.0000  6 Nd 3.60-3.61, 6 Ho 3.60-3.61
Tm 0.3333 0.6667 0.5000  6 Nd 3.59, 3 Th 3.60-3.61, 3 Tm 3.61
Tm 0.6667 0.3333 0.5000  6 Nd 3.59, 3 Th 3.60-3.61, 3 Tm 3.61
Th 0.0000 0.0000 0.5000  6 Nd 3.57-3.58, 6 Tm 3.60-3.61

A plane-wave DFT calculation with PBE-GGA was carried out for BiRhSe2 after structural relaxation.

total moment: 0.000 μB per cell
formation energy without anion corrections: -0.283 eV/atom
space-group type: P1
total DFT energy (no corrections): -4.833 eV per atom

Cell: 3.9383 6.7173 8.0258 Å, 102.93 104.17 107.00°
With the nearest neighbours (Å) after each atom.
Fractional positions:
Bi 0.0000 0.0000 0.0000  6 Se 2.91-3.25
Bi 0.4254 0.1666 0.6791  2 Rh 2.73, 1 Se 2.82
Rh 0.0323 0.4348 0.6257  4 Se 2.50-2.57, 2 Bi 2.73
Rh 0.4489 0.6162 0.2778  6 Se 2.45-2.62
Se 0.0973 0.8673 0.3241  2 Rh 2.50
Se 0.3037 0.6489 0.9556  2 Rh 2.50-2.58
Se 0.6379 0.6689 0.6039  3 Rh 2.45-2.52
Se 0.8160 0.3475 0.2799  3 Rh 2.57-2.62

A plane-wave DFT calculation with PBE-GGA was carried out for Mo2Ru2I after structural relaxation.

total moment: 0.000 μB per cell
formation energy without anion corrections: 0.667 eV/atom
energy above the lowest structure with this stoichiometry: 90 meV per atom
space-group type: I4/mmm
total DFT energy (no corrections): -7.686 eV per atom

Cell: 7.1535 7.1535 7.1535 Å, 149.45 149.45 43.75°
With the nearest neighbours (Å) after each atom.
Fractional positions:
Mo 0.1203 0.1203 0.0000  4 Ru 2.55
Mo 0.8797 0.8797 0.0000  4 Ru 2.55
Ru 0.2500 0.7500 0.5000  4 Mo 2.55, 4 Ru 2.67
Ru 0.7500 0.2500 0.5000  4 Mo 2.55, 4 Ru 2.67
I 0.5000 0.5000 0.0000  8 Mo 3.11

A plane-wave DFT calculation with PBE-GGA was carried out for Li2TeAsO6 after structural relaxation.

total moment: 0.000 μB per cell
formation energy without anion corrections: -1.242 eV/atom
space-group type: P4mm
total DFT energy (no corrections): -5.378 eV per atom

Cell: 5.2485 5.2485 4.8188 Å, 90.00 90.00 90.00°
With the nearest neighbours (Å) after each atom.
Fractional positions:
Li 0.0000 0.5000 0.0000  4 O 2.12
Li 0.5000 0.0000 0.0000  4 O 2.12
Te 0.0000 0.0000 0.6561  5 O 1.83-2.03
As 0.5000 0.5000 0.6509  1 O 1.67
O 0.0000 0.0000 0.2755  1 Te 1.83
O 0.2597 0.2597 0.7874  1 As 1.90, 1 Te 2.03, 2 Li 2.12
O 0.2597 0.7403 0.7874  1 As 1.90, 1 Te 2.03, 2 Li 2.12
O 0.5000 0.5000 0.3048  1 As 1.67
O 0.7403 0.2597 0.7874  1 As 1.90, 1 Te 2.03, 2 Li 2.12
O 0.7403 0.7403 0.7874  1 As 1.90, 1 Te 2.03, 2 Li 2.12

A plane-wave DFT calculation with PBE-GGA was carried out for Ba12Sn3H5 after structural relaxation.

total moment: 23.839 μB per cell
space-group type: Ia-3d
total DFT energy (no corrections): -2.969 eV per atom

Cell: 15.9414 15.9414 15.9414 Å, 109.47 109.47 109.47°
With the nearest neighbours (Å) after each atom.
Fractional positions:
Ba 0.0234 0.2127 0.1212  1 H 2.64
Ba 0.0234 0.3106 0.9022  1 H 2.64
Ba 0.0916 0.7127 0.6894  1 H 2.64
Ba 0.0916 0.8788 0.4022  1 H 2.64
Ba 0.0978 0.6212 0.4084  1 H 2.64
Ba 0.0978 0.9766 0.6894  1 H 2.64
Ba 0.1212 0.0234 0.2127  1 H 2.64
Ba 0.1212 0.5978 0.9084  1 H 2.64
Ba 0.1894 0.2127 0.5916  1 H 2.64
Ba 0.1894 0.4766 0.5978  1 H 2.64
Ba 0.2127 0.1212 0.0234  1 H 2.64
Ba 0.2127 0.5916 0.1894  1 H 2.64
Ba 0.2873 0.3106 0.9084  1 H 2.64
Ba 0.2873 0.4766 0.3788  1 H 2.64
Ba 0.3106 0.9022 0.0234  1 H 2.64
Ba 0.3106 0.9084 0.2873  1 H 2.64
Ba 0.3788 0.2873 0.4766  1 H 2.64
Ba 0.3788 0.5916 0.9022  1 H 2.64
Ba 0.4022 0.0916 0.8788  1 H 2.64
Ba 0.4022 0.8106 0.5234  1 H 2.64
Ba 0.4084 0.0978 0.6212  1 H 2.64
Ba 0.4084 0.8106 0.7873  1 H 2.64
Ba 0.4766 0.3788 0.2873  1 H 2.64
Ba 0.4766 0.5978 0.1894  1 H 2.64
Ba 0.5234 0.4022 0.8106  1 H 2.64
Ba 0.5234 0.6212 0.7127  1 H 2.64
Ba 0.5916 0.1894 0.2127  1 H 2.64
Ba 0.5916 0.9022 0.3788  1 H 2.64
Ba 0.5978 0.1894 0.4766  1 H 2.64
Ba 0.5978 0.9084 0.1212  1 H 2.64
Ba 0.6212 0.4084 0.0978  1 H 2.64
Ba 0.6212 0.7127 0.5234  1 H 2.64
Ba 0.6894 0.0916 0.7127  1 H 2.64
Ba 0.6894 0.0978 0.9766  1 H 2.64
Ba 0.7127 0.5234 0.6212  1 H 2.64
Ba 0.7127 0.6894 0.0916  1 H 2.64
Ba 0.7873 0.4084 0.8106  1 H 2.64
Ba 0.7873 0.8788 0.9766  1 H 2.64
Ba 0.8106 0.5234 0.4022  1 H 2.64
Ba 0.8106 0.7873 0.4084  1 H 2.64
Ba 0.8788 0.4022 0.0916  1 H 2.64
Ba 0.8788 0.9766 0.7873  1 H 2.64
Ba 0.9022 0.0234 0.3106  1 H 2.64
Ba 0.9022 0.3788 0.5916  1 H 2.64
Ba 0.9084 0.1212 0.5978  1 H 2.64
Ba 0.9084 0.2873 0.3106  1 H 2.64
Ba 0.9766 0.6894 0.0978  1 H 2.64
Ba 0.9766 0.7873 0.8788  1 H 2.64
Sn 0.1250 0.2500 0.3750  8 Ba 3.57-3.64
Sn 0.1250 0.3750 0.7500  8 Ba 3.57-3.64
Sn 0.2500 0.3750 0.1250  8 Ba 3.57-3.64
Sn 0.2500 0.8750 0.6250  8 Ba 3.57-3.64
Sn 0.3750 0.1250 0.2500  8 Ba 3.57-3.64
Sn 0.3750 0.7500 0.1250  8 Ba 3.57-3.64
Sn 0.6250 0.2500 0.8750  8 Ba 3.57-3.64
Sn 0.6250 0.8750 0.7500  8 Ba 3.57-3.64
Sn 0.7500 0.1250 0.3750  8 Ba 3.57-3.64
Sn 0.7500 0.6250 0.8750  8 Ba 3.57-3.64
Sn 0.8750 0.6250 0.2500  8 Ba 3.57-3.64
Sn 0.8750 0.7500 0.6250  8 Ba 3.57-3.64
H 0.0000 0.0000 0.0000  6 Ba 3.11
H 0.0000 0.0000 0.5000  6 Ba 3.11
H 0.0000 0.5000 0.0000  6 Ba 3.11
H 0.0000 0.5000 0.5000  6 Ba 3.11
H 0.1250 0.7500 0.8750  4 Ba 2.64
H 0.1250 0.8750 0.2500  4 Ba 2.64
H 0.2500 0.1250 0.8750  4 Ba 2.64
H 0.2500 0.6250 0.3750  4 Ba 2.64
H 0.3750 0.2500 0.6250  4 Ba 2.64
H 0.3750 0.6250 0.7500  4 Ba 2.64
H 0.5000 0.0000 0.0000  6 Ba 3.11
H 0.5000 0.0000 0.5000  6 Ba 3.11
H 0.5000 0.5000 0.0000  6 Ba 3.11
H 0.5000 0.5000 0.5000  6 Ba 3.11
H 0.6250 0.3750 0.2500  4 Ba 2.64
H 0.6250 0.7500 0.3750  4 Ba 2.64
H 0.7500 0.3750 0.6250  4 Ba 2.64
H 0.7500 0.8750 0.1250  4 Ba 2.64
H 0.8750 0.1250 0.7500  4 Ba 2.64
H 0.8750 0.2500 0.1250  4 Ba 2.64

A plane-wave DFT calculation with PBE-GGA was carried out for PmGa2Cl5 after structural relaxation.

total moment: 0.000 μB per cell
formation energy without anion corrections: -1.485 eV/atom
space-group type: Cc
total DFT energy (no corrections): -3.989 eV per atom

Cell: 8.7649 8.7649 10.3214 Å, 114.73 114.73 50.43°
With the nearest neighbours (Å) after each atom.
Fractional positions:
Pm 0.9996 0.0004 0.0000  6 Cl 2.72-2.79
Pm 0.0004 0.9996 0.5000  6 Cl 2.72-2.79
Ga 0.3448 0.3986 0.7642  3 Cl 2.76-3.08
Ga 0.3986 0.3448 0.2642  3 Cl 2.76-3.08
Ga 0.6014 0.6528 0.7358  3 Cl 2.76-3.07
Ga 0.6528 0.6014 0.2358  3 Cl 2.76-3.07
Cl 0.0270 0.3218 0.1620  1 Pm 2.72, 1 Ga 2.76
Cl 0.1416 0.8584 0.2500  2 Pm 2.79
Cl 0.2473 0.6121 0.5363  1 Pm 2.72, 1 Ga 2.96
Cl 0.3218 0.0270 0.6620  1 Pm 2.72, 1 Ga 2.76
Cl 0.3872 0.7532 0.9639  1 Pm 2.72, 1 Ga 2.96
Cl 0.6121 0.2473 0.0363  1 Pm 2.72, 1 Ga 2.96
Cl 0.6788 0.9720 0.3390  1 Pm 2.72, 1 Ga 2.76
Cl 0.7532 0.3872 0.4639  1 Pm 2.72, 1 Ga 2.96
Cl 0.8584 0.1416 0.7500  2 Pm 2.79
Cl 0.9720 0.6788 0.8390  1 Pm 2.72, 1 Ga 2.76

A plane-wave DFT calculation with PBE-GGA was carried out for BaTbTaN3 after structural relaxation.

total moment: 0.000 μB per cell
formation energy without anion corrections: -1.033 eV/atom
space-group type: C2/m
total DFT energy (no corrections): -8.263 eV per atom

Cell: 7.1301 7.1301 7.7421 Å, 104.53 104.53 33.07°
With the nearest neighbours (Å) after each atom.
Fractional positions:
Ba 0.1482 0.1482 0.0770  5 N 2.69-3.01
Ba 0.8518 0.8518 0.9230  5 N 2.69-3.01
Tb 0.1581 0.1581 0.5762  5 N 2.38-2.65
Tb 0.8419 0.8419 0.4238  5 N 2.38-2.65
Ta 0.4973 0.4973 0.6928  4 N 2.01-2.11
Ta 0.5027 0.5027 0.3072  4 N 2.01-2.11
N 0.0062 0.0062 0.3206  2 Ta 2.03
N 0.3383 0.3383 0.6466  1 Ta 2.11
N 0.3511 0.3511 0.2091  1 Ta 2.01
N 0.6489 0.6489 0.7909  1 Ta 2.01
N 0.6617 0.6617 0.3534  1 Ta 2.11
N 0.9938 0.9938 0.6794  2 Ta 2.03

A plane-wave DFT calculation with PBE-GGA was carried out for BeFe2Ru after structural relaxation.

total moment: 2.994 μB per cell
calculated formation energy: -0.06 eV per atom
space-group type: Immm
total DFT energy (no corrections): -7.543 eV per atom

Cell: 4.6403 4.6403 4.6403 Å, 143.74 131.85 61.74°
With the nearest neighbours (Å) after each atom.
Fractional positions:
Be 0.0000 0.0000 0.0000  4 Ru 2.38, 4 Fe 2.40
Fe 0.2400 0.7400 0.5000  4 Fe 2.39, 2 Be 2.40, 2 Ru 2.52
Fe 0.7600 0.2600 0.5000  4 Fe 2.39, 2 Be 2.40, 2 Ru 2.52
Ru 0.5000 0.5000 0.0000  4 Be 2.38, 4 Fe 2.52

A plane-wave DFT calculation with PBE-GGA was carried out for PuF3 after structural relaxation.

total moment: 10.000 μB per cell
formation energy without anion corrections: -3.596 eV/atom
space-group type: P6_3/m
total DFT energy (no corrections): -8.582 eV per atom

Cell: 6.1693 6.1693 3.8352 Å, 90.00 90.00 120.00°
With the nearest neighbours (Å) after each atom.
Fractional positions:
Pu 0.3333 0.6667 0.2500  9 F 2.39-2.47
Pu 0.6667 0.3333 0.7500  9 F 2.39-2.47
F 0.0863 0.4090 0.7500  3 Pu 2.39-2.47
F 0.3227 0.9137 0.7500  3 Pu 2.39-2.47
F 0.4090 0.3227 0.2500  3 Pu 2.39-2.47
F 0.5910 0.6773 0.7500  3 Pu 2.39-2.47
F 0.6773 0.0863 0.2500  3 Pu 2.39-2.47
F 0.9137 0.5910 0.2500  3 Pu 2.39-2.47